YSeCl: optimized geometry, PBE.

a b c (Å): 7.2890 7.2898 3.5505
angles (deg): 75.89 75.92 28.19
With the nearest neighbours (Å) after each atom.
Sites, in units of the cell vectors:
Cl 0.0446 0.0446 0.9554  4 Y 3.08, 1 Se 3.22
Y 0.6753 0.6753 0.3247  4 Se 2.89, 4 Cl 3.08
Se 0.2801 0.2801 0.7199  4 Y 2.89, 1 Cl 3.22

Results
Volume ... 28.76 Å³ per atom
Formation energy (no corrections) ... -1.702 eV per atom
ρ ... 3.91 g/cm3
SG ... No. 107

Na2Sc2TiSe6: optimized geometry, PBE.

a b c (Å): 6.6079 6.6079 7.4525
angles (deg): 98.75 98.75 119.70
With the nearest neighbours (Å) after each atom.
Sites, in units of the cell vectors:
Se 0.7519 0.7519 0.7117  1 Ti 2.60, 2 Sc 2.71
Se 0.3935 0.0746 0.7137  1 Ti 2.60, 2 Sc 2.71
Se 0.2481 0.2481 0.2883  1 Ti 2.60, 2 Sc 2.71
Se 0.9254 0.6065 0.2863  1 Ti 2.60, 2 Sc 2.71
Se 0.0746 0.3935 0.7137  1 Ti 2.60, 2 Sc 2.71
Se 0.6065 0.9254 0.2863  1 Ti 2.60, 2 Sc 2.71
Na 0.1698 0.8302 0.0000  6 Se 2.99-3.03
Na 0.8302 0.1698 0.0000  6 Se 2.99-3.03
Ti 0.0000 0.0000 0.5000  6 Se 2.60
Sc 0.3324 0.6676 0.5000  6 Se 2.71
Sc 0.6676 0.3324 0.5000  6 Se 2.71

Results
Volume ... 24.49 Å³ per atom
Formation energy (no corrections) ... -1.432 eV per atom
ρ ... 4.05 g/cm3
SG ... No. 12

NpInBiO6: optimized geometry, PBE.

a b c (Å): 5.5951 5.5951 10.0428
angles (deg): 90.00 90.00 120.00
With the nearest neighbours (Å) after each atom.
Sites, in units of the cell vectors:
O 0.9835 0.3428 0.1360  1 Np 2.09, 1 In 2.21
O 0.3593 0.3428 0.3640  1 Np 2.09, 1 In 2.21
O 0.6572 0.0165 0.3640  1 Np 2.09, 1 In 2.21
O 0.6572 0.6407 0.1360  1 Np 2.09, 1 In 2.21
O 0.3428 0.3593 0.8640  1 Np 2.09, 1 In 2.21
O 0.3428 0.9835 0.6360  1 Np 2.09, 1 In 2.21
O 0.9835 0.6407 0.3640  1 Np 2.09, 1 In 2.21
O 0.0165 0.3593 0.6360  1 Np 2.09, 1 In 2.21
O 0.3593 0.0165 0.1360  1 Np 2.09, 1 In 2.21
O 0.0165 0.6572 0.8640  1 Np 2.09, 1 In 2.21
O 0.6407 0.6572 0.6360  1 Np 2.09, 1 In 2.21
O 0.6407 0.9835 0.8640  1 Np 2.09, 1 In 2.21
In 0.3333 0.6667 0.2500  6 O 2.21
In 0.6667 0.3333 0.7500  6 O 2.21
Np 0.3333 0.6667 0.7500  6 O 2.09
Np 0.6667 0.3333 0.2500  6 O 2.09
Bi 0.0000 0.0000 0.0000  6 O 2.39
Bi 0.0000 0.0000 0.5000  6 O 2.39

Results
Volume ... 15.13 Å³ per atom
Formation energy (no corrections) ... -1.970 eV per atom
ρ ... 8.01 g/cm3
SG ... No. 163

LiBeCuMo2: optimized geometry, PBE.

a b c (Å): 4.2503 3.6965 4.2503
angles (deg): 90.00 90.00 90.00
With the nearest neighbours (Å) after each atom.
Sites, in units of the cell vectors:
Be 0.0000 0.5000 0.0000  2 Li 1.85
Cu 0.5000 0.5000 0.5000  8 Mo 2.82, 4 Be 3.01
Li 0.0000 0.0000 0.0000  2 Be 1.85
Mo 0.5000 0.0000 0.0000  2 Li 2.13
Mo 0.0000 0.0000 0.5000  2 Li 2.13

Results
Volume ... 13.36 Å³ per atom
ρ ... 6.75 g/cm3
ΔH_f (0 K) ... 6.45 eV/f.u.
SG ... No. 123

TiCd2H: optimized geometry, PBE.

a b c (Å): 4.6309 4.6309 4.6309
angles (deg): 60.00 60.00 60.00
With the nearest neighbours (Å) after each atom.
Sites, in units of the cell vectors:
Cd 0.2500 0.2500 0.2500  4 Ti 2.84, 4 H 2.84
Cd 0.7500 0.7500 0.7500  4 Ti 2.84, 4 H 2.84
Ti 0.5000 0.5000 0.5000  8 Cd 2.84
H 0.0000 0.0000 0.0000  8 Cd 2.84

Results
Total DFT energy (no corrections) ... -2.499 eV/atom
Volume ... 17.56 Å³ per atom
ρ ... 6.47 g/cm3
SG ... No. 225

LaAl11Ni: optimized geometry, PBE.

a b c (Å): 5.1846 7.2865 6.8258
angles (deg): 82.96 67.68 71.18
With the nearest neighbours (Å) after each atom.
Sites, in units of the cell vectors:
Al 0.0094 0.6394 0.3486  8 Al 2.71-3.01, 1 Ni 2.74
Al 0.4998 0.7643 0.2174  1 Ni 2.57, 6 Al 2.68-2.87
Al 0.0000 0.0000 0.5000  6 Al 2.59-2.74
Al 0.7173 0.7643 0.7826  1 Ni 2.57, 6 Al 2.68-2.87
Al 0.6420 0.3606 0.3486  8 Al 2.71-3.01, 1 Ni 2.74
Al 0.5000 0.0000 0.5000  6 Al 2.59-2.74
Al 0.3580 0.6394 0.6514  8 Al 2.71-3.01, 1 Ni 2.74
Al 0.9906 0.3606 0.6514  8 Al 2.71-3.01, 1 Ni 2.74
Al 0.5002 0.2357 0.7826  1 Ni 2.57, 6 Al 2.68-2.87
Al 0.0000 0.5000 0.0000  2 Ni 2.59, 8 Al 2.68-2.72
Al 0.2827 0.2357 0.2174  1 Ni 2.57, 6 Al 2.68-2.87
La 0.0000 0.0000 0.0000  18 Al 3.32-3.64
Ni 0.5000 0.5000 0.0000  10 Al 2.57-2.74

Results
Volume ... 17.37 Å³ per atom
ρ ... 3.64 g/cm3
ΔH_f (0 K) ... -2.96 eV/f.u.
SG ... No. 12

Ac4As2SN2: optimized geometry, PBE.

a b c (Å): 4.3780 8.5983 8.4413
angles (deg): 119.38 105.03 90.00
With the nearest neighbours (Å) after each atom.
Sites, in units of the cell vectors:
Ac 0.2316 0.1579 0.4632  3 N 2.44-2.51
Ac 0.4871 0.2372 0.9742  1 N 2.38
Ac 0.7684 0.8421 0.5368  3 N 2.44-2.51
Ac 0.5129 0.7628 0.0258  1 N 2.38
As 0.0898 0.5743 0.1796  1 As 2.53
As 0.9102 0.4257 0.8204  1 As 2.53
N 0.3239 0.0071 0.6479  4 Ac 2.38-2.51
N 0.6761 0.9929 0.3521  4 Ac 2.38-2.51
S 0.0000 0.0000 0.0000  6 Ac 3.07-3.30

Results
Volume ... 29.37 Å³ per atom
Formation energy (no corrections) ... -1.387 eV per atom
ρ ... 7.02 g/cm3
SG ... No. 12

Y2InAg: optimized geometry, PBE.

a b c (Å): 3.8815 3.8815 6.9785
angles (deg): 90.00 90.00 90.00
With the nearest neighbours (Å) after each atom.
Sites, in units of the cell vectors:
Ag 0.0000 0.0000 0.5037  5 Y 3.15-3.29, 4 In 3.20
Y 0.5000 0.5000 0.2819  4 Ag 3.15, 1 In 3.19, 4 Y 3.48
Y 0.0000 0.0000 0.9750  4 In 3.20, 1 Ag 3.29, 4 Y 3.48
In 0.5000 0.5000 0.7395  5 Y 3.19-3.20, 4 Ag 3.20

Results
Volume ... 26.28 Å³ per atom
ρ ... 6.33 g/cm3
ΔH_f (0 K) ... -0.84 eV/f.u.
SG ... No. 99

ThSc3Tl2: optimized geometry, PBE.

a b c (Å): 3.5120 3.5120 12.0824
angles (deg): 90.00 90.00 90.00
With the nearest neighbours (Å) after each atom.
Sites, in units of the cell vectors:
Tl 0.5000 0.5000 0.1611  8 Sc 3.11-3.16
Tl 0.5000 0.5000 0.8389  8 Sc 3.11-3.16
Sc 0.0000 0.0000 0.0000  8 Tl 3.16, 4 Sc 3.51
Sc 0.0000 0.0000 0.3157  4 Tl 3.11, 4 Th 3.34
Sc 0.0000 0.0000 0.6843  4 Tl 3.11, 4 Th 3.34
Th 0.5000 0.5000 0.5000  8 Sc 3.34, 4 Th 3.51

Results
Volume ... 24.84 Å³ per atom
ρ ... 8.64 g/cm3
ΔH_f (0 K) ... -1.18 eV/f.u.
SG ... No. 123

Cu2PdS4: optimized geometry, PBE.

a b c (Å): 6.9866 7.0843 7.0843
angles (deg): 57.30 60.46 60.46
With the nearest neighbours (Å) after each atom.
Sites, in units of the cell vectors:
S 0.7463 0.7471 0.7603  2 Cu 2.31-2.53, 2 Pd 2.41
S 0.7463 0.2603 0.2471  2 Cu 2.31-2.53, 2 Pd 2.41
S 0.2552 0.2660 0.7660  3 Cu 2.28-2.34, 1 Pd 2.41
S 0.2537 0.2529 0.2397  2 Cu 2.31-2.53, 2 Pd 2.41
S 0.2873 0.7340 0.2340  3 Cu 2.28-2.34, 1 Pd 2.41
S 0.7127 0.2660 0.7660  3 Cu 2.28-2.34, 1 Pd 2.41
S 0.2537 0.7397 0.7529  2 Cu 2.31-2.53, 2 Pd 2.41
S 0.7448 0.7340 0.2340  3 Cu 2.28-2.34, 1 Pd 2.41
Cu 0.5000 0.5000 0.5000  6 S 2.34-2.53
Cu 0.8935 0.8565 0.3565  4 S 2.28-2.31
Cu 0.5000 0.0000 0.0000  6 S 2.34-2.53
Cu 0.1065 0.1435 0.6435  4 S 2.28-2.31
Pd 0.0000 0.5000 0.0000  6 S 2.41
Pd 0.5000 0.5000 0.0000  6 S 2.41

Results
Volume ... 17.43 Å³ per atom
Formation energy (no corrections) ... -0.135 eV per atom
ρ ... 4.92 g/cm3
SG ... No. 74

HfAs2Au: optimized geometry, PBE.

a b c (Å): 5.5429 5.5429 7.8069
angles (deg): 69.21 69.21 90.00
With the nearest neighbours (Å) after each atom.
Sites, in units of the cell vectors:
As 0.3750 0.3687 0.7500  2 Au 2.57, 2 Hf 2.61
As 0.1187 0.6250 0.2500  2 Au 2.57, 2 Hf 2.61
As 0.6313 0.1250 0.2500  2 Au 2.57, 2 Hf 2.61
As 0.8750 0.8813 0.7500  2 Au 2.57, 2 Hf 2.61
Hf 0.5000 0.5000 0.0000  4 As 2.61
Hf 0.2500 0.7500 0.5000  4 As 2.61
Au 0.0000 0.0000 0.0000  4 As 2.57
Au 0.7500 0.2500 0.5000  4 As 2.57

Results
Volume ... 25.93 Å³ per atom
ρ ... 8.41 g/cm3
ΔH_f (0 K) ... -0.28 eV/f.u.
SG ... No. 122

MnB3S: optimized geometry, PBE.

a b c (Å): 3.9334 3.9334 3.9334
angles (deg): 90.00 90.00 90.00
With the nearest neighbours (Å) after each atom.
Sites, in units of the cell vectors:
S 0.5000 0.5000 0.5000  12 B 2.78
B 0.5000 0.0000 0.0000  2 Mn 1.97
B 0.0000 0.0000 0.5000  2 Mn 1.97
B 0.0000 0.5000 0.0000  2 Mn 1.97
Mn 0.0000 0.0000 0.0000  6 B 1.97

Results
Volume ... 12.17 Å³ per atom
Formation energy (no corrections) ... 1.496 eV per atom
ρ ... 3.26 g/cm3
SG ... No. 221

Zn3AgPd2: optimized geometry, PBE.

a b c (Å): 2.9422 2.9422 10.4234
angles (deg): 90.00 90.00 90.00
With the nearest neighbours (Å) after each atom.
Sites, in units of the cell vectors:
Zn 0.0000 0.0000 0.3191  4 Pd 2.66, 4 Ag 2.81, 4 Zn 2.94
Zn 0.0000 0.0000 0.6809  4 Pd 2.66, 4 Ag 2.81, 4 Zn 2.94
Zn 0.0000 0.0000 0.0000  8 Pd 2.67, 4 Zn 2.94
Ag 0.5000 0.5000 0.5000  8 Zn 2.81, 4 Ag 2.94
Pd 0.5000 0.5000 0.1601  8 Zn 2.66-2.67, 4 Pd 2.94
Pd 0.5000 0.5000 0.8399  8 Zn 2.66-2.67, 4 Pd 2.94

Results
Volume ... 15.04 Å³ per atom
ρ ... 9.51 g/cm3
ΔH_f (0 K) ... -2.25 eV/f.u.
SG ... No. 123

CsInSi: optimized geometry, PBE.

a b c (Å): 4.5734 12.7253 8.7578
angles (deg): 90.00 110.94 90.00
With the nearest neighbours (Å) after each atom.
Sites, in units of the cell vectors:
Si 0.2928 0.4625 0.3746  1 Si 2.33
Si 0.2928 0.9625 0.8746  1 Si 2.33
Si 0.7072 0.4625 0.6254  1 Si 2.33
Si 0.7072 0.9625 0.1254  1 Si 2.33
Cs 0.0000 0.7034 0.5000  2 Si 3.67, 4 In 3.96-4.05
Cs 0.0000 0.2034 0.0000  2 Si 3.67, 4 In 3.96-4.05
Cs 0.5000 0.5727 0.0000  4 Si 3.98-4.17, 4 In 4.00-4.06
Cs 0.5000 0.0727 0.5000  4 Si 3.98-4.17, 4 In 4.00-4.06
In 0.7506 0.8403 0.8403  3 Si 2.71-3.01, 1 In 2.91
In 0.7506 0.3403 0.3403  3 Si 2.71-3.01, 1 In 2.91
In 0.2494 0.8403 0.1597  3 Si 2.71-3.01, 1 In 2.91
In 0.2494 0.3403 0.6597  3 Si 2.71-3.01, 1 In 2.91

Results
Volume ... 39.67 Å³ per atom
Formation energy (no corrections) ... 0.021 eV per atom
ρ ... 3.85 g/cm3
SG ... No. 5

Lu2NiGe: optimized geometry, PBE.

a b c (Å): 3.3774 3.3774 9.3529
angles (deg): 79.60 79.60 60.00
With the nearest neighbours (Å) after each atom.
Sites, in units of the cell vectors:
Ge 0.5000 0.5000 0.5000  6 Lu 2.87
Lu 0.0897 0.0897 0.7308  1 Ni 2.46
Lu 0.9103 0.9103 0.2692  1 Ni 2.46
Ni 0.0000 0.0000 0.0000  2 Lu 2.46

Results
Volume ... 22.59 Å³ per atom
ρ ... 8.84 g/cm3
ΔH_f (0 K) ... 0.73 eV/f.u.
SG ... No. 166

La5Er5Sc2: optimized geometry, PBE.

a b c (Å): 8.0262 8.0262 11.3401
angles (deg): 64.72 64.72 36.11
With the nearest neighbours (Å) after each atom.
Sites, in units of the cell vectors:
Er 0.2553 0.2553 0.7453  2 Sc 3.50, 4 Er 3.50-3.66, 6 La 3.52-3.63
Er 0.1678 0.1678 0.4974  5 Er 3.50-3.61, 2 Sc 3.54-3.62, 5 La 3.56-3.59
Er 0.8322 0.8322 0.5026  5 Er 3.50-3.61, 2 Sc 3.54-3.62, 5 La 3.56-3.59
Er 0.7447 0.7447 0.2547  2 Sc 3.50, 4 Er 3.50-3.66, 6 La 3.52-3.63
Er 0.0000 0.0000 0.0000  8 La 3.53-3.56, 2 Sc 3.62, 2 Er 3.66
La 0.4190 0.4190 0.2510  3 La 3.54-3.60, 2 Sc 3.55, 7 Er 3.56-3.63
La 0.5810 0.5810 0.7490  3 La 3.54-3.60, 2 Sc 3.55, 7 Er 3.56-3.63
La 0.3355 0.3355 0.0002  5 Er 3.53-3.61, 4 La 3.54-3.61, 3 Sc 3.56-3.60
La 0.6645 0.6645 0.9998  5 Er 3.53-3.61, 4 La 3.54-3.61, 3 Sc 3.56-3.60
La 0.5000 0.5000 0.5000  6 Er 3.52-3.56, 4 Sc 3.54, 2 La 3.55
Sc 0.0847 0.0847 0.2517  5 Er 3.50-3.62, 7 La 3.54-3.60
Sc 0.9153 0.9153 0.7483  5 Er 3.50-3.62, 7 La 3.54-3.60

Results
Volume ... 32.05 Å³ per atom
ρ ... 7.00 g/cm3
ΔH_f (0 K) ... 0.64 eV/f.u.
SG ... No. 12

GaTc2AgO8: optimized geometry, PBE.

a b c (Å): 5.7144 5.7144 6.5018
angles (deg): 90.00 90.00 120.00
With the nearest neighbours (Å) after each atom.
Sites, in units of the cell vectors:
O 0.1578 0.3163 0.6883  1 Tc 1.81, 1 Ga 1.99
O 0.6837 0.8415 0.6883  1 Tc 1.81, 1 Ga 1.99
O 0.3333 0.6667 0.0341  1 Tc 1.73
O 0.3163 0.1585 0.3117  1 Tc 1.81, 1 Ga 1.99
O 0.8415 0.1578 0.3117  1 Tc 1.81, 1 Ga 1.99
O 0.6667 0.3333 0.9659  1 Tc 1.73
O 0.8422 0.6837 0.3117  1 Tc 1.81, 1 Ga 1.99
O 0.1585 0.8422 0.6883  1 Tc 1.81, 1 Ga 1.99
Tc 0.3333 0.6667 0.7676  4 O 1.73-1.81
Tc 0.6667 0.3333 0.2324  4 O 1.73-1.81
Ag 0.0000 0.0000 0.0000  6 O 2.56
Ga 0.0000 0.0000 0.5000  6 O 1.99

Results
Volume ... 15.32 Å³ per atom
Formation energy (no corrections) ... -1.144 eV per atom
ρ ... 4.53 g/cm3
SG ... No. 164

Tb5SmDy12: optimized geometry, PBE.

a b c (Å): 11.1532 10.3043 5.9568
angles (deg): 90.00 89.99 57.24
With the nearest neighbours (Å) after each atom.
Sites, in units of the cell vectors:
Dy 0.9912 0.6661 0.0513  3 Tb 3.32-3.63, 4 Dy 3.38-3.41, 1 Sm 3.51
Dy 0.3271 0.0000 0.0470  3 Tb 3.32-3.50, 4 Dy 3.40-3.43, 1 Sm 3.66
Dy 0.1584 0.3331 0.4488  4 Tb 3.31-3.64, 4 Dy 3.39-3.41
Dy 0.0088 0.3339 0.9487  3 Tb 3.32-3.63, 4 Dy 3.38-3.41, 1 Sm 3.51
Dy 0.5085 0.3331 0.5512  4 Tb 3.31-3.64, 4 Dy 3.39-3.41
Dy 0.6729 0.0000 0.9530  3 Tb 3.32-3.50, 4 Dy 3.40-3.43, 1 Sm 3.66
Dy 0.4915 0.6669 0.4488  4 Tb 3.31-3.64, 4 Dy 3.39-3.41
Dy 0.1745 0.0000 0.5469  1 Sm 3.33, 4 Dy 3.39-3.43, 3 Tb 3.51-3.64
Dy 0.3427 0.6661 0.9487  3 Tb 3.32-3.63, 4 Dy 3.38-3.41, 1 Sm 3.51
Dy 0.8416 0.6669 0.5512  4 Tb 3.31-3.64, 4 Dy 3.39-3.41
Dy 0.6573 0.3339 0.0513  3 Tb 3.32-3.63, 4 Dy 3.38-3.41, 1 Sm 3.51
Dy 0.8255 0.0000 0.4531  1 Sm 3.33, 4 Dy 3.39-3.43, 3 Tb 3.51-3.64
Tb 0.8324 0.3352 0.5000  8 Dy 3.32-3.64
Tb 0.6677 0.6646 0.0000  8 Dy 3.31-3.63
Tb 0.3323 0.3354 0.0000  8 Dy 3.31-3.63
Tb 0.5000 0.0000 0.5000  8 Dy 3.32-3.64
Tb 0.1676 0.6648 0.5000  8 Dy 3.32-3.64
Sm 0.0000 0.0000 0.0000  8 Dy 3.33-3.66

Results
Volume ... 31.98 Å³ per atom
ρ ... 8.35 g/cm3
ΔH_f (0 K) ... 2.12 eV/f.u.
SG ... No. 12

Np2HS: optimized geometry, PBE.

a b c (Å): 3.6637 3.6637 6.4745
angles (deg): 73.56 73.56 60.00
With the nearest neighbours (Å) after each atom.
Sites, in units of the cell vectors:
S 0.5000 0.5000 0.5000  6 Np 2.74
H 0.0000 0.0000 0.0000  6 Np 2.50
Np 0.2612 0.2612 0.2165  3 H 2.50, 3 S 2.74
Np 0.7388 0.7388 0.7835  3 H 2.50, 3 S 2.74

Results
Total DFT energy (no corrections) ... -8.870 eV/atom
Volume ... 17.78 Å³ per atom
ρ ... 11.84 g/cm3
SG ... No. 166

Hf8SnSb2: optimized geometry, PBE.

a b c (Å): 5.3845 7.6244 7.6244
angles (deg): 118.93 101.42 101.42
With the nearest neighbours (Å) after each atom.
Sites, in units of the cell vectors:
Sb 0.0000 0.3040 0.6960  8 Hf 2.87-2.99
Sb 0.0000 0.6960 0.3040  8 Hf 2.87-2.99
Hf 0.5000 0.7726 0.2274  2 Sb 2.87, 1 Sn 2.99, 2 Hf 3.17
Hf 0.6940 0.4102 0.4102  6 Hf 2.93-3.15, 1 Sn 2.93, 2 Sb 2.99
Hf 0.8630 0.6847 0.9074  2 Sb 2.89-2.92, 5 Hf 2.92-3.17
Hf 0.5000 0.2274 0.7726  2 Sb 2.87, 1 Sn 2.99, 2 Hf 3.17
Hf 0.3060 0.5898 0.5898  6 Hf 2.93-3.15, 1 Sn 2.93, 2 Sb 2.99
Hf 0.8630 0.9074 0.6847  2 Sb 2.89-2.92, 5 Hf 2.92-3.17
Hf 0.1370 0.3153 0.0926  2 Sb 2.89-2.92, 5 Hf 2.92-3.17
Hf 0.1370 0.0926 0.3153  2 Sb 2.89-2.92, 5 Hf 2.92-3.17
Sn 0.5000 0.0000 0.0000  4 Hf 2.93-2.99

Results
Volume ... 22.93 Å³ per atom
Formation energy (no corrections) ... -0.116 eV per atom
ρ ... 11.78 g/cm3
SG ... No. 12